[1]
VASP calculation (PBE-GGA) on a relaxed structure of Sm3Au5S12.

Cell lengths 15.421, 15.421, 15.421 Å; angles 90.00, 90.00, 90.00 degrees
Space group Ia-3d (No. 230)
Symmetry-distinct sites (fractional):
1 Sm 0.000 0.250 0.125 [24 per cell]
2 Au 0.000 0.000 0.000 [16 per cell]
3 Au 0.000 0.250 0.375 [24 per cell]
4 S 0.020 0.059 0.649 [96 per cell]

---

[2]
VASP calculation (PBE-GGA) on a relaxed structure of SmAuS.

Cell lengths 4.086, 12.352, 5.392 Å; angles 90.00, 90.00, 90.00 degrees
Space group Cmcm (No. 63)
Symmetry-distinct sites (fractional):
1 Sm 0.000 0.142 0.250 [4 per cell]
2 Au 0.000 0.466 0.250 [4 per cell]
3 S 0.000 0.198 0.750 [4 per cell]

---

[3]
VASP calculation (PBE-GGA) on a relaxed structure of Sm3AuS2.

Cell lengths 4.338, 13.407, 10.692 Å; angles 90.00, 90.00, 90.00 degrees
Space group Cmcm (No. 63)
Symmetry-distinct sites (fractional):
1 Sm 0.000 0.103 0.250 [4 per cell]
2 Sm 0.000 0.359 0.059 [8 per cell]
3 Au 0.000 0.241 0.750 [4 per cell]
4 S 0.000 0.000 0.000 [4 per cell]
5 S 0.000 0.489 0.250 [4 per cell]

---

[4]
VASP calculation (PBE-GGA) on a relaxed structure of Sm5AuS4.

Cell lengths 13.616, 4.017, 10.037 Å; angles 90.00, 120.07, 90.00 degrees
Space group C2/m (No. 12)
Symmetry-distinct sites (fractional):
1 Sm 0.000 0.000 0.000 [2 per cell]
2 Sm 0.107 0.500 0.394 [4 per cell]
3 Sm 0.203 0.000 0.808 [4 per cell]
4 Au 0.000 0.000 0.500 [2 per cell]
5 S 0.098 0.500 0.901 [4 per cell]
6 S 0.202 0.000 0.296 [4 per cell]

---

no.,formation energy from raw total energies (kJ per mole of atoms),M_tot (μB per formula unit)
1,-55,0.0
2,-131,0.0
3,-127,0.0
4,-170,0.0